(1)
First-principles (PBE) data for a relaxed Tl2AgSe2 crystal, as listed in Alexandria.

a = 13.7178 Å, b = 5.9691 Å, c = 9.5472 Å
α = 90.00°, β = 126.43°, γ = 90.00°
With the nearest neighbours (Å) after each atom.
Space group C2/m (No. 12)
One atom of each set of equivalent atoms:
Tl1 0.1102 0.0000 0.3267  5 Se 3.03-3.38
Tl2 0.1523 0.5000 0.0335  4 Se 2.99-3.20, 1 Ag 3.26
Ag1 0.1130 0.5000 0.6615  3 Se 2.58-2.74, 1 Ag 2.79
Se1 0.0906 0.5000 0.3571  2 Ag 2.69-2.74
Se2 0.1654 0.0000 0.0624  1 Ag 2.58

Values from the calculation:
Fermi-level density of states ... 8.365 states/eV per cell
Volume ... 629.00 Å³ per cell
E_form (uncorrected) ... -0.20 eV per atom
Crystal system ... monoclinic
Raw total energy ... -62.30 eV for the cell shown



(2)
First-principles (PBE) data for a relaxed ScBe2Se crystal, as listed in Alexandria.

a = 6.9939 Å, b = 6.9939 Å, c = 5.1586 Å
α = 90.00°, β = 90.00°, γ = 90.00°
With the nearest neighbours (Å) after each atom.
Space group I-42d (No. 122)
One atom of each set of equivalent atoms:
Sc1 0.0000 0.0000 0.0000  2 Se 2.58, 4 Be 2.81
Be1 0.1993 0.2500 0.6250  2 Se 2.33
Se1 0.0000 0.0000 0.5000  4 Be 2.33, 2 Sc 2.58

Values from the calculation:
Fermi-level density of states ... 7.285 states/eV per cell
Volume ... 252.33 Å³ per cell
E_form (uncorrected) ... -0.06 eV per atom
Crystal system ... tetragonal
Raw total energy ... -70.09 eV for the cell shown



(3)
First-principles (PBE) data for a relaxed Pr3SmTm3Te8 crystal, as listed in Alexandria.

a = 8.7772 Å, b = 8.7772 Å, c = 21.7156 Å
α = 90.00°, β = 90.00°, γ = 120.00°
With the nearest neighbours (Å) after each atom.
Space group R-3m (No. 166, hexagonal axes)
One atom of each set of equivalent atoms:
Pr1 0.0000 0.5000 0.0000  6 Te 3.19
Sm1 0.0000 0.0000 0.5000  6 Te 3.19
Tm1 0.0000 0.5000 0.5000  6 Te 3.04
Te1 0.0000 0.0000 0.2440  3 Tm 3.04, 3 Pr 3.19
Te2 0.0168 0.5084 0.7520  2 Tm 3.04, 2 Pr 3.19, 1 Sm 3.19

Values from the calculation:
Fermi-level density of states ... 20.919 states/eV per cell
Volume ... 1448.80 Å³ per cell
E_form (uncorrected) ... -1.39 eV per atom
Crystal system ... trigonal
Raw total energy ... -235.22 eV for the cell shown



(4)
First-principles (PBE) data for a relaxed Nb3Fe4Si2 crystal, as listed in Alexandria.

a = 8.9859 Å, b = 4.1494 Å, c = 7.8617 Å
α = 90.00°, β = 122.16°, γ = 90.00°
With the nearest neighbours (Å) after each atom.
Space group C2/m (No. 12)
One atom of each set of equivalent atoms:
Nb1 0.0000 0.0000 0.0000  6 Fe 2.63-2.90, 2 Nb 2.75, 4 Si 2.79
Nb2 0.1615 0.5000 0.6710  8 Fe 2.66-2.90, 4 Si 2.69-2.87, 2 Nb 2.71-2.75
Fe1 0.0953 0.0000 0.4276  3 Si 2.41-2.43, 1 Fe 2.51, 3 Nb 2.67-2.68
Fe2 0.1897 0.5000 0.0248  2 Si 2.44-2.48, 2 Fe 2.47, 3 Nb 2.63-2.66
Si1 0.1116 0.5000 0.2784  5 Fe 2.41-2.48, 1 Nb 2.69

Values from the calculation:
Fermi-level density of states ... 16.403 states/eV per cell
Volume ... 248.17 Å³ per cell
E_form (uncorrected) ... -0.23 eV per atom
Crystal system ... monoclinic
Raw total energy ... -154.02 eV for the cell shown